# 1
This record from Alexandria describes crystalline CoWS2 at its relaxed geometry. The functional is GGA-PBEsol.

- Calculated total energy: -7.68 eV per atom
- Total magnetic moment: 0.000 μB per cell
- Relative energy among the computed polymorphs: 0.084 eV/atom
- SG: No. 122

Lattice parameters (Å, degrees): 6.098 6.098 6.098 129.80 129.80 73.72
Sites, in units of the cell vectors:
Co (0.000, 0.000, 0.000)
Co (0.750, 0.250, 0.500)
W (0.250, 0.750, 0.500)
W (0.500, 0.500, 0.000)
S (0.098, 0.625, 0.973)
S (0.375, 0.348, 0.473)
S (0.652, 0.125, 0.027)
S (0.875, 0.902, 0.527)

# 2
This record from Alexandria describes crystalline YCoS2 at its relaxed geometry. The functional is GGA-PBEsol.

- Calculated total energy: -6.87 eV per atom
- Total magnetic moment: 4.034 μB per cell
- SG: No. 122

Lattice parameters (Å, degrees): 7.041 7.041 7.041 135.78 135.78 64.32
Sites, in units of the cell vectors:
Y (0.000, 0.000, 0.000)
Y (0.750, 0.250, 0.500)
Co (0.250, 0.750, 0.500)
Co (0.500, 0.500, 0.000)
S (0.188, 0.625, 0.063)
S (0.375, 0.438, 0.563)
S (0.562, 0.125, 0.937)
S (0.875, 0.812, 0.437)

# 3
This record from Alexandria describes crystalline ZnCo2S4 at its relaxed geometry. The functional is GGA-PBEsol.

- Calculated total energy: -5.52 eV per atom
- Total magnetic moment: 0.000 μB per cell
- SG: No. 227

Lattice parameters (Å, degrees): 6.703 6.703 6.703 60.00 60.00 60.00
Sites, in units of the cell vectors:
Zn (0.125, 0.125, 0.125)
Zn (0.875, 0.875, 0.875)
Co (0.000, 0.500, 0.500)
Co (0.500, 0.000, 0.500)
Co (0.500, 0.500, 0.000)
Co (0.500, 0.500, 0.500)
S (0.266, 0.266, 0.266)
S (0.266, 0.266, 0.702)
S (0.266, 0.702, 0.266)
S (0.298, 0.734, 0.734)
S (0.702, 0.266, 0.266)
S (0.734, 0.298, 0.734)
S (0.734, 0.734, 0.298)
S (0.734, 0.734, 0.734)

# 4
This record from Alexandria describes crystalline CoSb at its relaxed geometry. The functional is GGA-PBEsol.

- Calculated total energy: -5.90 eV per atom
- Total magnetic moment: 0.002 μB per cell
- SG: No. 221

Lattice parameters (Å, degrees): 3.137 3.137 3.137 90.00 90.00 90.00
Sites, in units of the cell vectors:
Co (0.000, 0.000, 0.000)
Sb (0.500, 0.500, 0.500)

# 5
This record from Alexandria describes crystalline CoSb at its relaxed geometry. The functional is GGA-PBEsol.

- Calculated total energy: -5.90 eV per atom
- Total magnetic moment: 0.003 μB per cell
- SG: No. 221

Lattice parameters (Å, degrees): 3.134 3.134 3.134 90.00 90.00 90.00
Sites, in units of the cell vectors:
Co (0.000, 0.000, 0.000)
Sb (0.500, 0.500, 0.500)

# 6
This record from Alexandria describes crystalline CoSb at its relaxed geometry. The functional is GGA-PBEsol.

- Calculated total energy: -6.13 eV per atom
- Total magnetic moment: 0.000 μB per cell
- SG: No. 129

Lattice parameters (Å, degrees): 3.523 3.523 5.115 90.00 90.00 90.00
Sites, in units of the cell vectors:
Co (0.250, 0.250, 0.177)
Co (0.750, 0.750, 0.823)
Sb (0.250, 0.250, 0.691)
Sb (0.750, 0.750, 0.309)

# 7
This record from Alexandria describes crystalline CoSb at its relaxed geometry. The functional is GGA-PBEsol.

- Calculated total energy: -5.94 eV per atom
- Total magnetic moment: 0.001 μB per cell
- SG: No. 164

Lattice parameters (Å, degrees): 3.512 3.512 7.146 90.00 90.00 120.00
Sites, in units of the cell vectors:
Co (0.333, 0.667, 0.080)
Co (0.667, 0.333, 0.920)
Sb (0.333, 0.667, 0.712)
Sb (0.667, 0.333, 0.288)

# 8
This record from Alexandria describes crystalline CoSb at its relaxed geometry. The functional is GGA-PBEsol.

- Calculated total energy: -5.69 eV per atom
- Total magnetic moment: 0.001 μB per cell
- SG: No. 216

Lattice parameters (Å, degrees): 3.945 3.945 3.945 60.00 60.00 60.00
Sites, in units of the cell vectors:
Co (0.000, 0.000, 0.000)
Sb (0.750, 0.750, 0.750)

# 9
This record from Alexandria describes crystalline CoSb at its relaxed geometry. The functional is GGA-PBEsol.

- Calculated total energy: -6.14 eV per atom
- Total magnetic moment: 0.000 μB per cell
- SG: No. 8

Lattice parameters (Å, degrees): 4.573 4.573 6.942 108.12 108.12 45.57
Sites, in units of the cell vectors:
Co (0.000, 0.000, 0.000)
Co (0.026, 0.026, 0.621)
Co (0.792, 0.792, 0.257)
Sb (0.301, 0.301, 0.553)
Sb (0.499, 0.499, 0.255)
Sb (0.677, 0.677, 0.876)

# 10
This record from Alexandria describes crystalline CoSb at its relaxed geometry. The functional is GGA-PBEsol.

- Calculated total energy: -6.37 eV per atom
- Total magnetic moment: 0.001 μB per cell
- SG: No. 194

Lattice parameters (Å, degrees): 3.821 3.821 5.122 90.00 90.00 120.00
Sites, in units of the cell vectors:
Co (0.000, 0.000, 0.000)
Co (0.000, 0.000, 0.500)
Sb (0.333, 0.667, 0.250)
Sb (0.667, 0.333, 0.750)

# 11
This record from Alexandria describes crystalline ScCo2Sb at its relaxed geometry. The functional is GGA-PBEsol.

- Calculated total energy: -6.86 eV per atom
- Total magnetic moment: 0.019 μB per cell
- SG: No. 123

Lattice parameters (Å, degrees): 3.204 3.204 5.766 90.00 90.00 90.00
Sites, in units of the cell vectors:
Sc (0.000, 0.000, 0.000)
Co (0.500, 0.500, 0.262)
Co (0.500, 0.500, 0.738)
Sb (0.000, 0.000, 0.500)

# 12
This record from Alexandria describes crystalline ScCo2Sb2 at its relaxed geometry. The functional is GGA-PBEsol.

- Calculated total energy: -6.49 eV per atom
- Total magnetic moment: 1.254 μB per cell
- SG: No. 139

Lattice parameters (Å, degrees): 6.133 6.133 6.133 141.35 141.35 55.81
Sites, in units of the cell vectors:
Sc (0.000, 0.000, 0.000)
Co (0.250, 0.750, 0.500)
Co (0.750, 0.250, 0.500)
Sb (0.372, 0.372, 0.000)
Sb (0.628, 0.628, 0.000)

For each record above, in turn, the calculated volume values are 16.32; 20.93; 15.21; 15.44; 15.39; 15.87; 19.09; 21.70; 16.27; 16.19; 14.80; 17.86 Å³/atom.